[1]
## Tm12PuPb7 (PBE-GGA)

Data for a geometry-optimized Tm12PuPb7 structure.

The structure belongs to space group R-3m (No. 166, hexagonal axes); the cell edges are 15.2155, 15.2155 and 9.0081 Å and the angles 90.00°, 90.00° and 120.00°. The distinct sites, in fractional coordinates, are Tm at (0.0000, 0.2778, 0.0000), Tm at (0.1114, 0.2228, 0.3960), Pu at (0.0000, 0.0000, 0.0000), Pb at (0.0000, 0.0000, 0.5000) and Pb at (0.1025, 0.2050, 0.7652).

The value obtained for the formation energy is -0.18 eV/atom. Its total magnetization is 17.8 μB per cell.

---

[2]
## Tm2PuPb (PBE-GGA)

Data for a geometry-optimized Tm2PuPb structure.

The structure belongs to space group P4/mmm (No. 123); the cell edges are 3.5417, 3.5417 and 9.0189 Å and the angles 90.00°, 90.00° and 90.00°. The distinct sites, in fractional coordinates, are Tm at (0.0000, 0.0000, 0.2402), Pu at (0.5000, 0.5000, 0.5000) and Pb at (0.5000, 0.5000, 0.0000).

The value obtained for the formation energy is -0.12 eV/atom. Its total magnetization is 6.2 μB per cell.

---

[3]
## Tm2PuPb (PBE-GGA)

Data for a geometry-optimized Tm2PuPb structure.

The structure belongs to space group R-3m (No. 166, hexagonal axes); the cell edges are 3.4784, 3.4784 and 32.6296 Å and the angles 90.00°, 90.00° and 120.00°. The distinct sites, in fractional coordinates, are Tm at (0.0000, 0.0000, 0.2488), Pu at (0.0000, 0.0000, 0.0000) and Pb at (0.0000, 0.0000, 0.5000).

The value obtained for the formation energy is -0.08 eV/atom. Its total magnetization is 18.0 μB per cell.

---

[4]
## Tm2PuPb (PBE-GGA)

Data for a geometry-optimized Tm2PuPb structure.

The structure belongs to space group P4/mmm (No. 123); the cell edges are 4.8886, 4.8886 and 4.6185 Å and the angles 90.00°, 90.00° and 90.00°. The distinct sites, in fractional coordinates, are Tm at (0.0000, 0.5000, 0.0000), Pu at (0.0000, 0.0000, 0.5000) and Pb at (0.5000, 0.5000, 0.5000).

The value obtained for the formation energy is -0.16 eV/atom. Its total magnetization is 7.0 μB per cell.

---

[5]
## TmPuPb2 (PBE-GGA)

Data for a geometry-optimized TmPuPb2 structure.

The structure belongs to space group P4/mmm (No. 123); the cell edges are 4.9531, 4.9531 and 4.5299 Å and the angles 90.00°, 90.00° and 90.00°. The distinct sites, in fractional coordinates, are Tm at (0.0000, 0.0000, 0.0000), Pu at (0.5000, 0.5000, 0.0000) and Pb at (0.0000, 0.5000, 0.5000).

The value obtained for the formation energy is -0.25 eV/atom. Its total magnetization is 6.4 μB per cell.

---

[6]
## Tm2PuPb9 (PBE-GGA)

Data for a geometry-optimized Tm2PuPb9 structure.

The structure belongs to space group P4/mmm (No. 123); the cell edges are 4.8624, 4.8624 and 14.5673 Å and the angles 90.00°, 90.00° and 90.00°. The distinct sites, in fractional coordinates, are Tm at (0.0000, 0.0000, 0.1712), Pu at (0.0000, 0.0000, 0.5000), Pb at (0.0000, 0.5000, 0.0000), Pb at (0.0000, 0.5000, 0.3328), Pb at (0.5000, 0.5000, 0.1663) and Pb at (0.5000, 0.5000, 0.5000).

The value obtained for the formation energy is -0.20 eV/atom. Its total magnetization is 5.9 μB per cell.

---

- What is the formation energy in the third record?
  -0.08 eV/atom